Density functional theory data (GGA-PBE) for crystalline Mo3WBr at its relaxed geometry.

The energy relative to the elements, uncorrected comes out at 2.035 eV per atom.

Cell lengths 4.8378, 4.8378, 4.8378 Å; angles 90.00, 90.00, 90.00 degrees
Positions (direct):
Mo: 0.0000 0.5000 0.0000
Mo: 0.0000 0.0000 0.5000
Mo: 0.5000 0.0000 0.0000
Br: 0.5000 0.5000 0.5000
W: 0.0000 0.0000 0.0000